## BeZnAs2 (PBE)

Data for an optimized crystal structure of BeZnAs2.

Computed properties:
ρ ... 5.8 Mg/m³
Calculated volume ... 64 Å³/f.u.
N(E_F) ... 0.3482 states/eV/atom
Crystal system ... tetragonal
SG ... No. 139
Energy of formation from the pure elements ... 0.438 eV/atom
ΔE to the lowest computed polymorph ... 372 meV/atom

Unit cell a=4.6591 b=4.6591 c=4.6591 alpha=125.61 beta=125.61 gamma=80.53
Element x y z (fractional)
Be: 0.0000 0.0000 0.0000
Zn: 0.5000 0.5000 0.0000
As: 0.2500 0.7500 0.5000
As: 0.7500 0.2500 0.5000